A geometry-optimized Dy5Bi4Os structure. Source: the Alexandria database, functional PBE-GGA.

```
data_Dy5Bi4Os
_chemical_formula_sum 'Dy10 Bi8 Os2'
_symmetry_space_group_name_H-M 'I 4'
_symmetry_Int_Tables_number 79
_cell_length_a 9.7658
_cell_length_b 9.7658
_cell_length_c 6.2778
_cell_angle_alpha 90.00
_cell_angle_beta 90.00
_cell_angle_gamma 90.00
loop_
_symmetry_equiv_pos_as_xyz
'x,y,z'
'-y,x,z'
'-x,-y,z'
'y,-x,z'
'x+1/2,y+1/2,z+1/2'
'-y+1/2,x+1/2,z+1/2'
'-x+1/2,-y+1/2,z+1/2'
'y+1/2,-x+1/2,z+1/2'
loop_
_atom_site_label
_atom_site_fract_x
_atom_site_fract_y
_atom_site_fract_z
Dy1 0.0000 0.0000 0.0000
Dy2 0.0925 0.2664 0.3731
Bi1 0.0859 0.3011 0.8707
Os1 0.0000 0.0000 0.4447
```

***

A geometry-optimized Dy2BiOs structure. Source: the Alexandria database, functional PBE-GGA.

```
data_Dy2BiOs
_chemical_formula_sum 'Dy2 Bi1 Os1'
_symmetry_space_group_name_H-M 'P 4/m m m'
_symmetry_Int_Tables_number 123
_symmetry_space_group_name_Hall '-P 4 2'
_cell_length_a 3.4249
_cell_length_b 3.4249
_cell_length_c 8.4579
_cell_angle_alpha 90.00
_cell_angle_beta 90.00
_cell_angle_gamma 90.00
loop_
_atom_site_label
_atom_site_fract_x
_atom_site_fract_y
_atom_site_fract_z
Dy1 0.0000 0.0000 0.1965
Bi1 0.5000 0.5000 0.5000
Os1 0.5000 0.5000 0.0000
```

***

no.,energy of formation (eV/atom),DFT total energy (Ha/atom)
1,-0.561,-0.20350
2,-0.459,-0.24025